[1]
# BeAgP GGA-PBE optimized geometry
data_BeAgP
_space_group_name_H-M_alt 'P 63/m m c'
_space_group_IT_number 194
_space_group_name_Hall '-P 6c 2c'
_cell_length_a 4.1783
_cell_length_b 4.1783
_cell_length_c 7.6854
_cell_angle_alpha 90.00
_cell_angle_beta 90.00
_cell_angle_gamma 120.00
loop_
_atom_site_label
_atom_site_fract_x
_atom_site_fract_y
_atom_site_fract_z
_atom_site_occupancy
Be1 0.0000 0.0000 0.2500 1
Ag1 0.3333 0.6667 0.2500 1
P1 0.0000 0.0000 0.0000 1
# ΔE_f, meV/atom: 487
# D(E_F), states/eV per cell: 2.40
# Magnetization, μB/f.u.: 0.00
# Electronic total energy, eV per atom: -3.5091

[2]
# BeAgP GGA-PBE optimized geometry
data_BeAgP
_space_group_name_H-M_alt 'P 1'
_space_group_IT_number 1
_cell_length_a 3.707
_cell_length_b 4.794
_cell_length_c 5.861
_cell_angle_alpha 107.89
_cell_angle_beta 91.21
_cell_angle_gamma 90.20
loop_
_space_group_symop_operation_xyz
'x,y,z'
loop_
_atom_site_label
_atom_site_fract_x
_atom_site_fract_y
_atom_site_fract_z
_atom_site_occupancy
Be1 0.000 0.000 0.000 1
Be2 0.495 0.515 0.482 1
Ag1 0.169 0.979 0.457 1
Ag2 0.709 0.390 0.867 1
P1 0.490 0.857 0.822 1
P2 0.987 0.392 0.300 1
# ΔE_f, meV/atom: -41
# D(E_F), states/eV per cell: 0.02
# Magnetization, μB/f.u.: 0.00
# Electronic total energy, eV per atom: -4.0371

[3]
# BeAg2P GGA-PBE optimized geometry
data_BeAg2P
_space_group_name_H-M_alt 'F -4 3 m'
_space_group_IT_number 216
_space_group_name_Hall 'F -4 2 3'
_cell_length_a 6.315
_cell_length_b 6.315
_cell_length_c 6.315
_cell_angle_alpha 90.00
_cell_angle_beta 90.00
_cell_angle_gamma 90.00
loop_
_atom_site_label
_atom_site_fract_x
_atom_site_fract_y
_atom_site_fract_z
_atom_site_occupancy
Be1 0.000 0.000 0.000 1
Ag1 0.000 0.000 0.500 1
Ag2 0.250 0.250 0.750 1
P1 0.250 0.250 0.250 1
# ΔE_f, meV/atom: 485
# D(E_F), states/eV per cell: 7.76
# Magnetization, μB/f.u.: 0.00
# Electronic total energy, eV per atom: -3.2248
# Relative energy among the computed polymorphs, eV/atom: 0.306

- Among the records above, which one has the highest D(E_F)?
  BeAg2P